Density functional theory data (PBE-GGA) for a geometry-optimized LiNd2Pt9 structure.

Cell: 5.4548 5.4548 9.3853 Å, 73.11 73.11 60.00°
Last column: nearest neighbours and their distance in Å.
Element x y z (fractional)
Pt: 0.6677 0.6677 0.9969  6 Pt 2.69-2.76
Pt: 0.5859 0.0799 0.7483  7 Pt 2.69-2.76
Pt: 0.3323 0.3323 0.0031  6 Pt 2.69-2.76
Pt: 0.5000 0.5000 0.5000  6 Pt 2.71
Pt: 0.9201 0.4141 0.2517  7 Pt 2.69-2.76
Pt: 0.4141 0.4141 0.2517  7 Pt 2.69-2.76
Pt: 0.5859 0.5859 0.7483  7 Pt 2.69-2.76
Pt: 0.4141 0.9201 0.2517  7 Pt 2.69-2.76
Pt: 0.0799 0.5859 0.7483  7 Pt 2.69-2.76
Nd: 0.8640 0.8640 0.4079  12 Pt 3.06-3.39
Nd: 0.1360 0.1360 0.5921  12 Pt 3.06-3.39
Li: 0.0000 0.0000 0.0000  18 Pt 3.15-3.52

DOS(E_F) = 9.3 states/eV per cell
magnetic moment = 0.00 μB/atom
formation enthalpy at 0 K = -680 meV per atom
space-group type = R-3m (166)